# ThAgAu

ThAgAu after structural relaxation (PBE, the Alexandria database).

The structure in POSCAR format:
```
ThAgAu
1.0
-3.662 1.648 -2.711
-0.534 -4.069 2.576
-2.276 3.649 5.293
Au Ag Th
2 2 2
Direct
0.667 0.333 0.750 Au
0.333 0.667 0.250 Au
0.333 0.667 0.750 Ag
0.667 0.333 0.250 Ag
0.000 0.000 0.000 Th
0.000 0.000 0.500 Th
```

- SG = No. 194
- theoretical density (g/cm³) = 12.9
- ΔH_f (0 K) (eV per formula unit) = -1.4
- energy relative to the lowest polymorph listed for this composition (meV/atom) = 0
- total magnetization (μB per formula unit) = 0.13